Record 1
This record from the Open Quantum Materials Database describes Sm7GaBr12 after structural relaxation. The functional is PBE.

The space group is R-3 (No. 148, hexagonal axes) and the conventional cell measures 15.1501, 15.1501 and 10.0413 Å, with angles of 90.00, 90.00 and 120.00 degrees. The inequivalent atoms are Sm at (0.0000, 0.0000, 0.0000), Sm at (0.0476, 0.1701, 0.3393), Ga at (0.0000, 0.0000, 0.5000), Br at (0.0255, 0.5879, 0.1656) and Br at (0.0503, 0.1818, 0.8416).

For the calculated total energy, the calculation gives -4.402 eV/atom. The value obtained for the magnetic moment is 0.00 μB/atom.

Record 2
This record from the Open Quantum Materials Database describes Tb2GaBr2 after structural relaxation. The functional is PBE.

The space group is P6_3/mmc (No. 194) and the conventional cell measures 4.0104, 4.0104 and 21.6974 Å, with angles of 90.00, 90.00 and 120.00 degrees. The inequivalent atoms are Tb at (0.3333, 0.6667, 0.1623), Ga at (0.0000, 0.0000, 0.2500) and Br at (0.3333, 0.6667, 0.5799).

For the calculated total energy, the calculation gives -4.317 eV/atom. The value obtained for the magnetic moment is 0.01 μB/atom.

Record 3
This record from the Open Quantum Materials Database describes ZnGaBr after structural relaxation. The functional is PBE.

The space group is Imm2 (No. 44) and the conventional cell measures 3.631, 3.709 and 11.344 Å, with angles of 90.00, 90.00 and 90.00 degrees. The inequivalent atoms are Zn at (0.000, 0.000, 0.000), Ga at (0.000, 0.000, 0.557) and Br at (0.000, 0.000, 0.777).

For the calculated total energy, the calculation gives -2.193 eV/atom.

Record 4
This record from the Open Quantum Materials Database describes ZrGaBr7 after structural relaxation. The functional is PBE.

The space group is Pc (No. 7) and the conventional cell measures 7.673, 6.428 and 16.165 Å, with angles of 90.00, 100.39 and 90.00 degrees. The inequivalent atoms are Zr at (0.000, 0.084, 0.000), Ga at (0.259, 0.490, 0.147), Br at (0.134, 0.139, 0.402), Br at (0.249, 0.141, 0.642), Br at (0.313, 0.335, 0.017), Br at (0.460, 0.376, 0.260), Br at (0.752, 0.131, 0.536), Br at (0.829, 0.326, 0.896) and Br at (0.969, 0.337, 0.142).

For the calculated total energy, the calculation gives -3.700 eV/atom. The value obtained for the magnetic moment is 0.00 μB/atom.

> What is the calculated total energy in the fourth record?

-3.700 eV/atom

> Which formula does entry 1 have?

Sm7GaBr12

> The lowest calculated total energy belongs to which entry?

Sm7GaBr12